A plane-wave DFT calculation with SCAN was carried out for Y2NiAu at its PBEsol-relaxed geometry.

Output
Raw total energy, eV/atom: -35.659
E_form, eV/atom: -0.40
Calculated volume, Å³ per atom: 18.62

Cell: 6.678 6.678 6.678 Å, 90.00 90.00 90.00°
Space group F-43m (No. 216)
Symmetry-distinct sites (fractional):
Y 0.000 0.000 0.000 x4
Y 0.250 0.250 0.250 x4
Ni 0.000 0.000 0.500 x4
Au 0.250 0.250 0.750 x4